--- A ---
Density functional theory data (PBE-GGA) for a geometry-optimized CrCu3Si structure.

magnetic moment: 4.1 μB per formula unit

Cell lengths 4.5369, 4.5369, 4.5369 Å; angles 90.00, 90.00, 90.00 degrees
Closest atoms and distances in Å follow each position.
Element x y z (fractional)
Cu  0.5000  0.0000  0.0000  2 Cr 2.27
Cu  0.0000  0.0000  0.5000  2 Cr 2.27
Cu  0.0000  0.5000  0.0000  2 Cr 2.27
Si  0.5000  0.5000  0.5000  12 Cu 3.21
Cr  0.0000  0.0000  0.0000  6 Cu 2.27

--- B ---
Density functional theory data (PBE-GGA) for a geometry-optimized CrCu3Si structure.

magnetic moment: 0.4 μB per formula unit

Cell lengths 4.2844, 4.2844, 4.2844 Å; angles 90.00, 90.00, 90.00 degrees
Closest atoms and distances in Å follow each position.
Element x y z (fractional)
Cr  0.5000  0.5000  0.5000  12 Cu 3.03
Cu  0.5000  0.0000  0.0000  2 Si 2.14
Cu  0.0000  0.5000  0.0000  2 Si 2.14
Cu  0.0000  0.0000  0.5000  2 Si 2.14
Si  0.0000  0.0000  0.0000  6 Cu 2.14

Energy comparison, zero being the most stable, in meV per atom: A 390; B 0.